[1]
K5RbNa2O: relaxed, PBE.

SG ... I4mm
Formation energy (no corrections) ... -0.352 eV per atom
V ... 453.9 Å³/f.u.

Cell: 8.632 8.632 8.632 Å, 120.13 120.13 89.78°
Sites, in units of the cell vectors:
K 0.000 0.000 0.000
K 0.002 0.002 0.563
K 0.002 0.439 0.000
K 0.439 0.002 0.000
K 0.439 0.439 0.437
Rb 0.449 0.449 0.000
Na 0.471 0.971 0.500
Na 0.971 0.471 0.500
O 0.219 0.219 0.000

---

[2]
CsCdBi: relaxed, PBE.

SG ... P3m1
Energy of formation ... -0.3333 eV/atom
V ... 135.8 Å³/f.u.

Cell: 5.068 5.068 6.106 Å, 90.00 90.00 120.00°
Sites, in units of the cell vectors:
Cs 0.000 0.000 0.000
Cd 0.667 0.333 0.501
Bi 0.333 0.667 0.498

---

[3]
Rb4Sm3MnS8: relaxed, PBE.

SG ... C2/m
Formation energy (no corrections) ... -1.519 eV per atom
V ... 445.7 Å³/f.u.

Cell: 8.238 8.238 9.007 Å, 116.92 116.92 58.54°
Sites, in units of the cell vectors:
Rb 0.000 0.000 0.000
Rb 0.000 0.500 0.000
Rb 0.500 0.000 0.000
Rb 0.500 0.500 0.000
Sm 0.000 0.000 0.500
Sm 0.000 0.500 0.500
Sm 0.500 0.000 0.500
Mn 0.500 0.500 0.500
S 0.229 0.229 0.698
S 0.254 0.254 0.291
S 0.264 0.704 0.677
S 0.296 0.736 0.323
S 0.704 0.264 0.677
S 0.736 0.296 0.323
S 0.746 0.746 0.709
S 0.771 0.771 0.302

---

[4]
Ce2ClF5: relaxed, PBE.

SG ... Immm
Formation energy (no corrections) ... -3.681 eV per atom
V ... 137.0 Å³/f.u.

Cell: 6.268 6.268 6.268 Å, 142.61 109.37 82.75°
Sites, in units of the cell vectors:
Ce 0.239 0.239 0.000
Ce 0.761 0.761 0.000
Cl 0.500 0.000 0.500
F 0.000 0.000 0.000
F 0.002 0.683 0.319
F 0.364 0.683 0.681
F 0.636 0.317 0.319
F 0.998 0.317 0.681